# Mn3AuF PBE with a Hubbard U relaxed
data_Mn3AuF
_chemical_formula_sum 'Mn3 Au1 F1'
_space_group_name_H-M_alt 'P m -3 m'
_space_group_IT_number 221
_space_group_name_Hall '-P 4 2 3'
_cell_length_a 5.142
_cell_length_b 5.142
_cell_length_c 5.142
_cell_angle_alpha 90.00
_cell_angle_beta 90.00
_cell_angle_gamma 90.00
loop_
_atom_site_label
_atom_site_type_symbol
_atom_site_fract_x
_atom_site_fract_y
_atom_site_fract_z
Mn1 Mn 0.000 0.000 0.500
Au1 Au 0.000 0.000 0.000
F1 F 0.500 0.500 0.500
# DOS(E_F)   3.03 states/eV/cell
# Density   4.65 Mg/m³
# Relative energy among the computed polymorphs   0.464 eV/atom
# Calculated volume   136 Å³ per cell